# 1
TaAuSe2N | Alexandria | PBE-GGA | relaxed; distance to the lowest polymorph of the same formula = 5.746 eV per formula unit; SG = P4/mmm, No. 123; calculated total energy = -4.73 eV per atom
1.0
5.229 0.000 0.000
0.000 3.723 0.000
0.000 0.000 5.229
N Se Ta Au
1 2 1 1
Direct
0.000 0.500 0.000 N
0.500 0.000 0.000 Se
0.000 0.000 0.500 Se
0.500 0.500 0.500 Ta
0.000 0.000 0.000 Au

# 2
TaAuSe2N | Alexandria | PBE-GGA | relaxed; distance to the lowest polymorph of the same formula = 0.000 eV per formula unit; SG = P4/mmm, No. 123; calculated total energy = -5.88 eV per atom
1.0
-1.983 2.385 -4.142
-2.520 -4.332 -1.288
-3.045 1.143 2.115
Se Au N Ta
2 1 1 1
Direct
0.500 0.000 0.000 Se
0.000 0.500 0.000 Se
0.500 0.500 0.500 Au
0.000 0.000 0.500 N
0.000 0.000 0.000 Ta

# 3
TaAuSeN2 | Alexandria | PBE-GGA | relaxed; distance to the lowest polymorph of the same formula = 8.211 eV per formula unit; SG = P4/mmm, No. 123; calculated total energy = -5.10 eV per atom
1.0
4.017 0.000 0.000
0.000 4.017 0.000
0.000 0.000 5.000
Ta N Se Au
1 2 1 1
Direct
0.500 0.500 0.500 Ta
0.000 0.500 0.000 N
0.500 0.000 0.000 N
0.000 0.000 0.500 Se
0.000 0.000 0.000 Au

# 4
TaAuSeN2 | Alexandria | PBE-GGA | relaxed; distance to the lowest polymorph of the same formula = 0.000 eV per formula unit; SG = P4/mmm, No. 123; calculated total energy = -6.74 eV per atom
1.0
-3.177 2.263 0.665
-1.951 -1.895 -2.873
-1.902 -3.781 3.786
Ta N Au Se
1 2 1 1
Direct
0.000 0.000 0.000 Ta
0.500 0.000 0.000 N
0.000 0.500 0.000 N
0.500 0.500 0.500 Au
0.000 0.000 0.500 Se

# 5
TeAuSe2N | Alexandria | PBE-GGA | relaxed; distance to the lowest polymorph of the same formula = 0.635 eV per formula unit; SG = P4/mmm, No. 123; calculated total energy = -3.23 eV per atom
1.0
-3.955 -3.699 0.298
1.803 -2.296 -4.571
2.327 -2.320 2.083
N Te Au Se
1 1 1 2
Direct
0.000 0.000 0.500 N
0.000 0.000 0.000 Te
0.500 0.500 0.500 Au
0.000 0.500 0.000 Se
0.500 0.000 0.000 Se

# 6
TeAuSeN2 | Alexandria | PBE-GGA | relaxed; distance to the lowest polymorph of the same formula = 1.024 eV per formula unit; SG = P4/mmm, No. 123; calculated total energy = -3.75 eV per atom
1.0
4.018 0.000 0.000
0.000 4.018 0.000
0.000 0.000 7.414
N Se Te Au
2 1 1 1
Direct
0.500 0.000 0.000 N
0.000 0.500 0.000 N
0.500 0.500 0.500 Se
0.000 0.000 0.500 Te
0.000 0.000 0.000 Au

# 7
TeAuSe2N | Alexandria | PBE-GGA | relaxed; distance to the lowest polymorph of the same formula = 0.000 eV per formula unit; SG = P4/mmm, No. 123; calculated total energy = -3.35 eV per atom
1.0
-3.145 -2.069 3.795
3.947 -3.286 1.480
1.258 2.625 2.474
Se N Au Te
2 1 1 1
Direct
0.000 0.500 0.000 Se
0.500 0.000 0.000 Se
0.000 0.000 0.500 N
0.000 0.000 0.000 Au
0.500 0.500 0.500 Te

# 8
Te2AuSeN | Alexandria | PBE-GGA | relaxed; distance to the lowest polymorph of the same formula = 0.000 eV per formula unit; SG = P4/mmm, No. 123; calculated total energy = -3.25 eV per atom
1.0
-3.473 -4.491 0.087
3.850 -3.032 -2.868
1.483 -1.085 3.138
Se N Te Au
1 1 2 1
Direct
0.000 0.000 0.000 Se
0.000 0.000 0.500 N
0.000 0.500 0.000 Te
0.500 0.000 0.000 Te
0.500 0.500 0.500 Au

# 9
TeAuSeN2 | Alexandria | PBE-GGA | relaxed; distance to the lowest polymorph of the same formula = 0.685 eV per formula unit; SG = P4/mmm, No. 123; calculated total energy = -3.82 eV per atom
1.0
3.835 0.000 0.000
0.000 3.835 0.000
0.000 0.000 6.875
Se N Te Au
1 2 1 1
Direct
0.000 0.000 0.000 Se
0.000 0.500 0.000 N
0.500 0.000 0.000 N
0.000 0.000 0.500 Te
0.500 0.500 0.500 Au

# 10
Te2AuSeN | Alexandria | PBE-GGA | relaxed; distance to the lowest polymorph of the same formula = 0.042 eV per formula unit; SG = P4/mmm, No. 123; calculated total energy = -3.25 eV per atom
1.0
-5.192 0.031 2.199
-1.265 -4.653 -2.922
1.232 -2.182 2.940
Au N Te Se
1 1 2 1
Direct
0.000 0.000 0.000 Au
0.000 0.000 0.500 N
0.000 0.500 0.000 Te
0.500 0.000 0.000 Te
0.500 0.500 0.500 Se

# 11
TeAuSeN2 | Alexandria | PBE-GGA | relaxed; distance to the lowest polymorph of the same formula = 0.000 eV per formula unit; SG = P4/mmm, No. 123; calculated total energy = -3.96 eV per atom
1.0
3.897 0.000 0.000
0.000 3.897 0.000
0.000 0.000 6.331
N Te Se Au
2 1 1 1
Direct
0.000 0.500 0.000 N
0.500 0.000 0.000 N
0.000 0.000 0.000 Te
0.000 0.000 0.500 Se
0.500 0.500 0.500 Au

# 12
TiAuSeN2 | Alexandria | PBE-GGA | relaxed; distance to the lowest polymorph of the same formula = 5.584 eV per formula unit; SG = P4/mmm, No. 123; calculated total energy = -4.74 eV per atom
1.0
-2.168 -1.153 -3.155
0.240 -3.798 1.224
-4.335 0.613 2.755
N Ti Se Au
2 1 1 1
Direct
0.000 0.500 0.000 N
0.500 0.000 0.000 N
0.500 0.500 0.500 Ti
0.000 0.000 0.500 Se
0.000 0.000 0.000 Au

Q: Which raw formation energy values were calculated for the entries above? A: 1.35; 0.20; 1.96; 0.32; 1.12; 1.56; 0.99; 1.02; 1.49; 1.03; 1.35; 1.52, in eV per atom.
Q: Which N(E_F) values were calculated for the entries above? A: 0.9552; 1.0936; 1.0678; 0.4987; 1.0832; 0.3959; 0.8739; 0.9027; 0.7353; 0.7521; 0.4993; 1.1937, in states/eV per atom.